1.
Compound: Mg3Ga3Pt
Source: Alexandria via LeMat-Bulk
Functional: PBE
Structure: optimized geometry

Summary:
Formation enthalpy at 0 K = -0.40 eV per atom

a b c (Å): 3.790 5.326 14.268
angles (deg): 83.73 82.37 69.16
Fractional positions:
Ga 0.857 0.757 0.528
Ga 0.143 0.243 0.472
Ga 0.890 0.144 0.075
Ga 0.110 0.856 0.925
Ga 0.013 0.196 0.778
Ga 0.987 0.804 0.222
Mg 0.384 0.307 0.925
Mg 0.258 0.250 0.235
Mg 0.616 0.693 0.075
Mg 0.505 0.359 0.631
Mg 0.742 0.750 0.765
Mg 0.495 0.641 0.369
Pt 0.222 0.927 0.629
Pt 0.778 0.073 0.371

2.
Compound: Ac2TlSn3Au4
Source: Alexandria via LeMat-Bulk
Functional: PBE
Structure: optimized geometry

Summary:
Formation enthalpy at 0 K = -0.59 eV per atom

a b c (Å): 4.767 4.767 11.485
angles (deg): 90.00 90.00 90.00
Fractional positions:
Sn 0.000 0.000 0.500
Sn 0.500 0.000 0.874
Sn 0.000 0.500 0.126
Au 0.000 0.500 0.359
Au 0.500 0.500 0.000
Au 0.500 0.000 0.641
Au 0.000 0.000 0.000
Ac 0.500 0.000 0.236
Ac 0.000 0.500 0.764
Tl 0.500 0.500 0.500

3.
Compound: HfTiCo2
Source: Alexandria via LeMat-Bulk
Functional: PBE
Structure: optimized geometry

Summary:
Formation enthalpy at 0 K = -0.36 eV per atom
Excess energy over the best structure of this formula in the dataset = 0.188 eV/f.u.

a b c (Å): 3.135 4.301 4.301
angles (deg): 90.00 90.00 90.00
Last column: magnetic moment on the atom in μB.
Fractional positions:
Co 0.000 0.500 0.000  0.78
Co 0.000 0.000 0.500  0.78
Hf 0.500 0.500 0.500  -0.09
Ti 0.500 0.000 0.000  0.00

> formation enthalpy at 0 K of number 1 (Mg3Ga3Pt)?

-0.40 eV per atom

> What is the formation enthalpy at 0 K in the first record?

-0.40 eV per atom

> Look up the formation enthalpy at 0 K of the third one.

-0.36 eV per atom

> Which of these has the lowest formation enthalpy at 0 K?

Ac2TlSn3Au4